No. 1
## RuBr (PBE)

Data for crystalline RuBr at its relaxed geometry.

extended XYZ file:
```
6
Lattice="3.133 0.000 0.000 -1.566 2.713 0.000 0.000 0.000 12.008" Properties=species:S:1:pos:R:3 pbc="T T T"
Ru 0.000 0.000 0.000
Ru 0.000 1.809 8.005
Ru 1.566 0.904 4.003
Br 0.000 0.000 6.004
Br 0.000 1.809 2.001
Br 1.566 0.904 10.007
```

Computed properties:
The calculation puts the volume at 17.0 Å³/atom. The electronic total energy is -4.60 eV/atom. The density of states at the Fermi level is 5.37 states/eV/cell. The calculation puts the energy above the lowest structure with this stoichiometry at 0.660 eV/atom.

---

No. 2
## Ru3Br (PBE)

Data for crystalline Ru3Br at its relaxed geometry.

extended XYZ file:
```
8
Lattice="6.113 0.000 0.000 -3.057 5.294 0.000 0.000 0.000 3.873" Properties=species:S:1:pos:R:3 pbc="T T T"
Ru 0.000 1.758 0.968
Ru -1.534 4.415 0.968
Ru 1.522 0.879 2.905
Ru 1.534 4.415 0.968
Ru 4.591 0.879 2.905
Ru 3.057 3.536 2.905
Br 0.000 3.529 2.905
Br 3.057 1.765 0.968
```

Computed properties:
The calculation puts the volume at 15.7 Å³/atom. The electronic total energy is -6.34 eV/atom. The density of states at the Fermi level is 8.81 states/eV/cell. The calculation puts the energy above the lowest structure with this stoichiometry at 0.460 eV/atom.

---

No. 3
## RuBr3 (PBE)

Data for crystalline RuBr3 at its relaxed geometry.

extended XYZ file:
```
4
Lattice="3.072 0.000 0.000 0.000 3.552 0.000 0.000 0.000 9.447" Properties=species:S:1:pos:R:3 pbc="T T T"
Ru 0.000 0.000 0.000
Br 0.000 1.776 7.768
Br 1.536 0.000 4.685
Br 1.536 1.776 1.350
```

Computed properties:
The calculation puts the volume at 25.8 Å³/atom. The electronic total energy is -3.26 eV/atom. The density of states at the Fermi level is 4.01 states/eV/cell.

---

No. 4
## RuBr4 (PBE)

Data for crystalline RuBr4 at its relaxed geometry.

extended XYZ file:
```
10
Lattice="9.768 0.000 0.000 0.000 9.768 0.000 0.000 0.000 3.167" Properties=species:S:1:pos:R:3 pbc="T T T"
Ru 0.000 0.000 0.000
Ru 4.884 4.884 1.583
Br 0.463 2.109 1.583
Br 2.109 9.306 1.583
Br 2.775 5.347 0.000
Br 4.422 2.775 0.000
Br 5.347 6.994 0.000
Br 6.994 4.422 0.000
Br 7.659 0.463 1.583
Br 9.306 7.659 1.583
```

Computed properties:
The calculation puts the volume at 30.2 Å³/atom. The electronic total energy is -3.04 eV/atom. The density of states at the Fermi level is 5.79 states/eV/cell. The calculation puts the energy above the lowest structure with this stoichiometry at 0.360 eV/atom.

---

No. 5
## RuBr (PBE)

Data for crystalline RuBr at its relaxed geometry.

extended XYZ file:
```
12
Lattice="3.067 0.000 0.000 -1.533 2.656 0.000 0.000 0.000 29.649" Properties=species:S:1:pos:R:3 pbc="T T T"
Ru 0.000 0.000 3.975
Ru 0.000 0.000 25.675
Ru 0.000 1.771 15.791
Ru 0.000 1.771 23.741
Ru 1.533 0.885 5.908
Ru 1.533 0.885 13.858
Br 0.000 0.000 11.826
Br 0.000 0.000 17.823
Br 0.000 1.771 1.943
Br 0.000 1.771 7.940
Br 1.533 0.885 21.710
Br 1.533 0.885 27.706
```

Computed properties:
The calculation puts the volume at 20.1 Å³/atom. The electronic total energy is -4.99 eV/atom. The density of states at the Fermi level is 14.52 states/eV/cell. The calculation puts the energy above the lowest structure with this stoichiometry at 0.279 eV/atom.

---

No. 6
## RuBr5 (PBE)

Data for crystalline RuBr5 at its relaxed geometry.

extended XYZ file:
```
12
Lattice="7.895 0.000 0.000 0.000 3.752 0.000 0.000 0.000 13.334" Properties=species:S:1:pos:R:3 pbc="T T T"
Ru 0.000 0.000 0.000
Ru 0.000 1.876 6.667
Br 0.000 0.000 5.029
Br 0.000 0.000 8.303
Br 0.000 1.876 1.636
Br 0.000 1.876 11.696
Br 3.947 0.000 1.480
Br 3.947 0.000 5.912
Br 3.947 0.000 10.363
Br 3.947 1.876 3.696
Br 3.947 1.876 8.147
Br 3.947 1.876 12.579
```

Computed properties:
The calculation puts the volume at 32.9 Å³/atom. The electronic total energy is -2.71 eV/atom. The density of states at the Fermi level is 8.70 states/eV/cell. The calculation puts the energy above the lowest structure with this stoichiometry at 0.124 eV/atom.

---

No. 7
## Ru8Br (PBE)

Data for crystalline Ru8Br at its relaxed geometry.

extended XYZ file:
```
9
Lattice="-4.139 4.139 1.941 4.139 -4.139 1.941 4.139 4.139 -1.941" Properties=species:S:1:pos:R:3 pbc="T T T"
Ru 2.859 0.000 0.000
Ru 5.418 0.000 0.000
Ru 2.646 2.646 0.000
Ru 1.493 -1.493 1.941
Ru 0.000 2.859 0.000
Ru 0.000 5.418 0.000
Ru -1.493 1.493 1.941
Ru 1.493 1.493 1.941
Br 0.000 0.000 0.000
```

Computed properties:
The calculation puts the volume at 14.8 Å³/atom. The electronic total energy is -8.00 eV/atom. The density of states at the Fermi level is 10.47 states/eV/cell.

---

No. 8
## RuBr3 (PBE)

Data for crystalline RuBr3 at its relaxed geometry.

extended XYZ file:
```
12
Lattice="3.701 0.000 0.000 -1.851 3.205 0.000 0.000 0.000 29.995" Properties=species:S:1:pos:R:3 pbc="T T T"
Ru 0.000 0.000 0.000
Ru 0.000 2.137 19.997
Ru 1.851 1.068 9.998
Br 0.000 0.000 11.355
Br 0.000 0.000 14.998
Br 0.000 0.000 18.640
Br 0.000 2.137 1.357
Br 0.000 2.137 4.999
Br 0.000 2.137 8.642
Br 1.851 1.068 21.354
Br 1.851 1.068 24.996
Br 1.851 1.068 28.639
```

Computed properties:
The calculation puts the volume at 29.7 Å³/atom. The electronic total energy is -3.46 eV/atom. The density of states at the Fermi level is 14.09 states/eV/cell.

---

No. 9
## Ru4Br5 (PBE)

Data for crystalline Ru4Br5 at its relaxed geometry.

extended XYZ file:
```
18
Lattice="8.725 0.000 0.000 -4.362 7.556 0.000 0.000 0.000 6.156" Properties=species:S:1:pos:R:3 pbc="T T T"
Ru 0.000 0.000 0.000
Ru 0.000 0.000 3.078
Ru -2.127 3.684 1.539
Ru -2.236 3.872 4.617
Ru 4.254 0.000 1.539
Ru 2.127 3.684 4.617
Ru 4.471 0.000 4.617
Ru 2.236 3.872 1.539
Br -0.994 1.721 4.617
Br -3.369 5.835 1.539
Br 1.987 0.000 4.617
Br 0.994 1.721 1.539
Br 0.000 5.037 0.000
Br 0.000 5.037 3.078
Br 4.362 2.519 0.000
Br 4.362 2.519 3.078
Br 6.738 0.000 1.539
Br 3.369 5.835 4.617
```

Computed properties:
The calculation puts the volume at 22.5 Å³/atom. The electronic total energy is -4.16 eV/atom. The density of states at the Fermi level is 24.16 states/eV/cell. The calculation puts the energy above the lowest structure with this stoichiometry at 0.000 eV/atom.

---

No. 10
## Ru4Br5 (PBE)

Data for crystalline Ru4Br5 at its relaxed geometry.

extended XYZ file:
```
9
Lattice="-5.401 5.401 1.608 5.401 -5.401 1.608 5.401 5.401 -1.608" Properties=species:S:1:pos:R:3 pbc="T T T"
Ru 3.960 0.000 0.000
Ru 6.841 0.000 0.000
Ru 0.000 3.960 0.000
Ru 0.000 6.841 0.000
Br 0.000 0.000 0.000
Br 3.615 3.615 0.000
Br 1.786 -1.786 1.608
Br -1.786 1.786 1.608
Br 1.786 1.786 1.608
```

Computed properties:
The calculation puts the volume at 20.8 Å³/atom. The electronic total energy is -4.08 eV/atom. The density of states at the Fermi level is 10.96 states/eV/cell. The calculation puts the energy above the lowest structure with this stoichiometry at 0.073 eV/atom.

---

No. 11
## RuBr3 (PBE)

Data for crystalline RuBr3 at its relaxed geometry.

extended XYZ file:
```
4
Lattice="5.251 0.000 0.000 0.000 5.251 0.000 0.000 0.000 3.418" Properties=species:S:1:pos:R:3 pbc="T T T"
Ru 0.000 0.000 0.000
Br 0.000 2.626 1.709
Br 2.626 0.000 1.709
Br 2.626 2.626 0.000
```

Computed properties:
The calculation puts the volume at 23.6 Å³/atom. The electronic total energy is -2.57 eV/atom. The density of states at the Fermi level is 5.43 states/eV/cell.

---

No. 12
## Ru3Br (PBE)

Data for crystalline Ru3Br at its relaxed geometry.

extended XYZ file:
```
4
Lattice="2.906 0.000 0.000 0.000 4.077 0.000 -1.360 0.000 5.122" Properties=species:S:1:pos:R:3 pbc="T T T"
Ru 0.000 0.000 0.000
Ru 0.060 2.038 3.850
Ru 1.486 2.038 1.272
Br -0.680 0.000 2.561
```

Computed properties:
The calculation puts the volume at 15.2 Å³/atom. The electronic total energy is -6.59 eV/atom. The density of states at the Fermi level is 4.77 states/eV/cell. The calculation puts the energy above the lowest structure with this stoichiometry at 0.208 eV/atom.

---

No. 13
## Ru3Br (PBE)

Data for crystalline Ru3Br at its relaxed geometry.

extended XYZ file:
```
4
Lattice="4.621 0.000 0.000 0.000 4.621 0.000 0.000 0.000 2.853" Properties=species:S:1:pos:R:3 pbc="T T T"
Ru 0.000 0.000 0.000
Ru 0.000 2.311 1.427
Ru 2.311 0.000 1.427
Br 2.311 2.311 0.000
```

Computed properties:
The calculation puts the volume at 15.2 Å³/atom. The electronic total energy is -6.41 eV/atom. The density of states at the Fermi level is 5.89 states/eV/cell. The calculation puts the energy above the lowest structure with this stoichiometry at 0.385 eV/atom.

---

No. 14
## RuBr (PBE)

Data for crystalline RuBr at its relaxed geometry.

extended XYZ file:
```
8
Lattice="3.744 0.000 0.000 0.000 3.744 0.000 0.000 0.000 10.467" Properties=species:S:1:pos:R:3 pbc="T T T"
Ru 0.000 0.936 3.925
Ru 0.000 2.808 6.542
Ru 1.872 0.936 1.308
Ru 1.872 2.808 9.159
Br 0.000 0.936 9.159
Br 0.000 2.808 1.308
Br 1.872 0.936 6.542
Br 1.872 2.808 3.925
```

Computed properties:
The calculation puts the volume at 18.3 Å³/atom. The electronic total energy is -4.30 eV/atom. The density of states at the Fermi level is 13.25 states/eV/cell. The calculation puts the energy above the lowest structure with this stoichiometry at 0.960 eV/atom.

---

Number 1: formation energy from raw total energies 0.870 eV/atom. Number 2: formation energy from raw total energies 1.038 eV/atom. Number 3: formation energy from raw total energies 0.311 eV/atom. Number 4: formation energy from raw total energies 0.149 eV/atom. Number 5: formation energy from raw total energies 0.489 eV/atom. Number 6: formation energy from raw total energies 0.228 eV/atom. Number 7: formation energy from raw total energies 0.435 eV/atom. Number 8: formation energy from raw total energies 0.115 eV/atom. Number 9: formation energy from raw total energies 0.897 eV/atom. Number 10: formation energy from raw total energies 0.970 eV/atom. Number 11: formation energy from raw total energies 0.999 eV/atom. Number 12: formation energy from raw total energies 0.785 eV/atom. Number 13: formation energy from raw total energies 0.963 eV/atom. Number 14: formation energy from raw total energies 1.170 eV/atom.